MoI2O8 after structural relaxation. Source: Alexandria, functional GGA+U.

Lattice parameters (Å, degrees): 6.518 6.518 5.709 94.99 94.99 54.51
Fractional coordinates of all 11 atoms:
1 Mo 0.000 0.000 0.000
2 I 0.141 0.141 0.567
3 I 0.859 0.859 0.433
4 O 0.145 0.145 0.214
5 O 0.146 0.712 0.200
6 O 0.288 0.854 0.800
7 O 0.294 0.294 0.644
8 O 0.706 0.706 0.356
9 O 0.712 0.146 0.200
10 O 0.854 0.288 0.800
11 O 0.855 0.855 0.786

Computed properties:
Energy   -4.9009 eV/atom
Magnetization   0.000 μB/atom